Record 1
Material: Tb6Y2ErTh
Method: DFT, PBE-GGA
State: relaxed

VASP energy = -5.12 eV/atom
ΔE_f = 153 meV per atom
D(E_F) = 1.497 states/eV/atom

Cell lengths 9.445, 15.118, 9.096 Å; angles 90.00, 92.38, 90.00 degrees
Space group C2/c (No. 15)
Asymmetric unit:
1 Tb 0.050 0.173 0.438 x8
2 Tb 0.098 0.379 0.604 x8
3 Tb 0.216 0.217 0.805 x8
4 Y 0.241 0.446 0.941 x8
5 Er 0.000 0.418 0.250 x4
6 Th 0.000 0.036 0.750 x4

Record 2
Material: PrDyI
Method: DFT, PBE-GGA
State: relaxed

Energy above the most stable polymorph in this dataset = 0.0 meV per atom
Uncorrected formation energy = -0.456 eV per atom
VASP energy = -4.10 eV/atom
D(E_F) = 1.104 states/eV/atom

Cell lengths 3.738, 19.440, 5.608 Å; angles 90.00, 90.00, 90.00 degrees
Space group Cmcm (No. 63)
Asymmetric unit:
1 Pr 0.000 0.132 0.250 x4
2 Dy 0.000 0.470 0.250 x4
3 I 0.000 0.309 0.250 x4

Record 3
Material: KMgTcC2
Method: DFT, PBE-GGA
State: relaxed

VASP energy = -2.61 eV/atom
ΔE_f = 3688 meV per atom
D(E_F) = 1.105 states/eV/atom

Cell lengths 4.523, 4.523, 4.657 Å; angles 90.00, 90.00, 90.00 degrees
Space group P4/mmm (No. 123)
Asymmetric unit:
1 K 0.000 0.000 0.000 x1
2 Mg 0.500 0.500 0.500 x1
3 Tc 0.000 0.000 0.500 x1
4 C 0.000 0.500 0.000 x2

Record 4
Material: Cs2Tl6CdPt
Method: DFT, PBE-GGA
State: relaxed

VASP energy = -2.32 eV/atom
ΔE_f = -32 meV per atom
D(E_F) = 0.635 states/eV/atom

Cell lengths 8.6911, 8.6911, 36.3407 Å; angles 90.00, 90.00, 120.00 degrees
Space group R-3m (No. 166, hexagonal axes)
Asymmetric unit:
1 Cs 0.0000 0.0000 0.1447 x6
2 Cs 0.0000 0.0000 0.2859 x6
3 Tl 0.0505 0.5253 0.1165 x18
4 Tl 0.0580 0.5290 0.7177 x18
5 Cd 0.0000 0.0000 0.3837 x6
6 Pt 0.0000 0.0000 0.0000 x3
7 Pt 0.0000 0.0000 0.5000 x3

Record 5
Material: CeSmAgRu
Method: DFT, PBE-GGA
State: relaxed

VASP energy = -5.88 eV/atom
ΔE_f = -182 meV per atom
D(E_F) = 1.925 states/eV/atom

Cell lengths 7.156, 7.156, 7.156 Å; angles 90.00, 90.00, 90.00 degrees
Space group F-43m (No. 216)
Asymmetric unit:
1 Ce 0.000 0.000 0.000 x4
2 Sm 0.000 0.000 0.500 x4
3 Ag 0.250 0.250 0.250 x4
4 Ru 0.250 0.250 0.750 x4

Record 6
Material: ThZrSc2
Method: DFT, PBE-GGA
State: relaxed

Energy above the most stable polymorph in this dataset = 21.2 meV per atom
VASP energy = -7.12 eV/atom
ΔE_f = 35 meV per atom
D(E_F) = 1.453 states/eV/atom

Cell lengths 3.311, 3.311, 9.444 Å; angles 90.00, 90.00, 90.00 degrees
Space group P4/mmm (No. 123)
Asymmetric unit:
1 Th 0.000 0.000 0.000 x1
2 Zr 0.000 0.000 0.500 x1
3 Sc 0.500 0.500 0.269 x2

Record 7
Material: SiAg4O4
Method: DFT, PBE-GGA
State: relaxed

Uncorrected formation energy = -0.967 eV per atom
VASP energy = -5.04 eV/atom

Cell lengths 7.486, 7.486, 4.913 Å; angles 90.00, 90.00, 90.00 degrees
Space group P4_2/n (No. 86, origin choice 2)
Asymmetric unit:
1 Si 0.250 0.250 0.250 x2
2 Ag 0.071 0.637 0.205 x8
3 O 0.079 0.188 0.058 x8

Record 8
Material: TmCoNi2Ge4
Method: DFT, PBE-GGA
State: relaxed

VASP energy = -5.51 eV/atom
ΔE_f = -312 meV per atom
D(E_F) = 0.593 states/eV/atom

Cell lengths 4.0679, 4.0679, 25.3648 Å; angles 90.00, 90.00, 120.00 degrees
Space group R-3m (No. 166, hexagonal axes)
Asymmetric unit:
1 Tm 0.0000 0.0000 0.0000 x3
2 Co 0.0000 0.0000 0.5000 x3
3 Ni 0.0000 0.0000 0.2354 x6
4 Ge 0.0000 0.0000 0.1302 x6
5 Ge 0.0000 0.0000 0.3991 x6

Record 9
Material: LaSc2Fe
Method: DFT, PBE-GGA
State: relaxed

Energy above the most stable polymorph in this dataset = 393.0 meV per atom
VASP energy = -6.16 eV/atom
ΔE_f = 357 meV per atom
D(E_F) = 2.097 states/eV/atom

Cell lengths 6.941, 6.941, 6.941 Å; angles 90.00, 90.00, 90.00 degrees
Space group Fm-3m (No. 225)
Asymmetric unit:
1 La 0.000 0.000 0.000 x4
2 Sc 0.250 0.250 0.250 x8
3 Fe 0.000 0.000 0.500 x4

Record 10
Material: CaZn2PIr2
Method: DFT, PBE-GGA
State: relaxed

VASP energy = -4.89 eV/atom
ΔE_f = -277 meV per atom
D(E_F) = 0.633 states/eV/atom

Cell lengths 4.488, 4.488, 5.618 Å; angles 90.00, 90.00, 90.00 degrees
Space group P4/mmm (No. 123)
Asymmetric unit:
1 Ca 0.000 0.000 0.000 x1
2 Zn 0.500 0.500 0.223 x2
3 P 0.000 0.000 0.500 x1
4 Ir 0.000 0.500 0.500 x2

Record 11
Material: Nd2Y2HoEr
Method: DFT, PBE-GGA
State: relaxed

VASP energy = -5.21 eV/atom
ΔE_f = 58 meV per atom
D(E_F) = 1.765 states/eV/atom

Cell lengths 7.075, 5.668, 9.788 Å; angles 90.00, 90.00, 90.00 degrees
Space group Pmma (No. 51)
Asymmetric unit:
1 Nd 0.250 0.000 0.150 x2
2 Nd 0.250 0.500 0.682 x2
3 Y 0.000 0.000 0.500 x2
4 Y 0.250 0.500 0.344 x2
5 Ho 0.250 0.000 0.820 x2
6 Er 0.000 0.500 0.000 x2

Record 12
Material: LiLa4Ag
Method: DFT, PBE-GGA
State: relaxed

VASP energy = -3.67 eV/atom
ΔE_f = 410 meV per atom
D(E_F) = 1.211 states/eV/atom

Cell lengths 9.286, 9.286, 9.286 Å; angles 90.00, 90.00, 90.00 degrees
Space group F-43m (No. 216)
Asymmetric unit:
1 Li 0.000 0.000 0.000 x4
2 La 0.123 0.123 0.377 x16
3 Ag 0.250 0.250 0.750 x4

Record 13
Material: AcSbH
Method: DFT, PBE-GGA
State: relaxed

Energy above the most stable polymorph in this dataset = 271.4 meV per atom
VASP energy = -4.26 eV/atom
D(E_F) = 0.265 states/eV/atom

Cell lengths 3.561, 3.561, 11.827 Å; angles 90.00, 90.00, 90.00 degrees
Space group I4mm (No. 107)
Asymmetric unit:
1 Ac 0.000 0.000 0.000 x2
2 Sb 0.000 0.000 0.289 x2
3 H 0.000 0.000 0.556 x2

Record 14
Material: KInIr2
Method: DFT, PBE-GGA
State: relaxed

VASP energy = -4.62 eV/atom
ΔE_f = 770 meV per atom
D(E_F) = 1.036 states/eV/atom

Cell lengths 6.029, 9.844, 2.808 Å; angles 90.00, 115.71, 90.00 degrees
Space group C2/m (No. 12)
Asymmetric unit:
1 K 0.000 0.000 0.000 x2
2 In 0.000 0.500 0.000 x2
3 Ir 0.250 0.250 0.500 x4

Record 15
Material: K2NaTe2
Method: DFT, PBE-GGA
State: relaxed

Energy above the most stable polymorph in this dataset = 23.6 meV per atom
Uncorrected formation energy = -0.853 eV per atom
VASP energy = -2.81 eV/atom

Cell lengths 10.183, 5.440, 14.583 Å; angles 90.00, 105.35, 90.00 degrees
Space group C2/m (No. 12)
Asymmetric unit:
1 K 0.097 0.000 0.410 x4
2 K 0.172 0.500 0.230 x4
3 Na 0.198 0.500 0.898 x4
4 Te 0.038 0.000 0.912 x4
5 Te 0.114 0.500 0.671 x4

Record 16
Material: Y2HoGaN
Method: DFT, PBE-GGA
State: relaxed

Uncorrected formation energy = -0.989 eV per atom
VASP energy = -6.76 eV/atom
D(E_F) = 0.490 states/eV/atom

Cell lengths 4.760, 4.760, 4.725 Å; angles 90.00, 90.00, 90.00 degrees
Space group P4/mmm (No. 123)
Asymmetric unit:
1 Y 0.000 0.500 0.000 x2
2 Ho 0.000 0.000 0.500 x1
3 Ga 0.500 0.500 0.500 x1
4 N 0.000 0.000 0.000 x1

Record 17
Material: CuMoRh2
Method: DFT, PBE-GGA
State: relaxed

Energy above the most stable polymorph in this dataset = 16.5 meV per atom
VASP energy = -7.53 eV/atom
ΔE_f = -118 meV per atom
D(E_F) = 0.709 states/eV/atom

Cell lengths 3.896, 3.896, 7.402 Å; angles 90.00, 90.00, 90.00 degrees
Space group I4/mmm (No. 139)
Asymmetric unit:
1 Cu 0.000 0.000 0.000 x2
2 Mo 0.000 0.000 0.500 x2
3 Rh 0.000 0.500 0.250 x4

Record 18
Material: ZrScHg
Method: DFT, PBE-GGA
State: relaxed

Energy above the most stable polymorph in this dataset = 27.8 meV per atom
VASP energy = -5.29 eV/atom
ΔE_f = -226 meV per atom
D(E_F) = 0.832 states/eV/atom

Cell lengths 3.259, 4.646, 9.144 Å; angles 90.00, 99.92, 90.00 degrees
Space group P2_1/m (No. 11)
Asymmetric unit:
1 Zr 0.216 0.250 0.430 x2
2 Sc 0.387 0.250 0.778 x2
3 Hg 0.052 0.250 0.098 x2

Record 19
Material: Li3Tb
Method: DFT, PBE-GGA
State: relaxed

Energy above the most stable polymorph in this dataset = 105.4 meV per atom
VASP energy = -2.44 eV/atom
ΔE_f = 149 meV per atom
D(E_F) = 0.686 states/eV/atom

Cell lengths 3.370, 5.395, 10.171 Å; angles 90.00, 90.00, 90.00 degrees
Space group Immm (No. 71)
Asymmetric unit:
1 Li 0.000 0.000 0.000 x2
2 Li 0.000 0.500 0.276 x4
3 Tb 0.000 0.000 0.500 x2

Record 20
Material: K4Pr3BiS8
Method: DFT, PBE-GGA
State: relaxed

Uncorrected formation energy = -1.582 eV per atom
VASP energy = -5.06 eV/atom
D(E_F) = 0.000 states/eV/atom

Cell lengths 8.4285, 8.4285, 22.2110 Å; angles 90.00, 90.00, 120.00 degrees
Space group R-3m (No. 166, hexagonal axes)
Asymmetric unit:
1 K 0.0000 0.0000 0.0000 x3
2 K 0.0000 0.5000 0.0000 x9
3 Pr 0.0000 0.5000 0.5000 x9
4 Bi 0.0000 0.0000 0.5000 x3
5 S 0.0000 0.0000 0.2362 x6
6 S 0.0020 0.5010 0.2364 x18